(1)
DFT (SCAN) results for a PBEsol-optimized structure of Rb2Al2Cd.

Unit cell a=4.676 b=4.676 c=8.573 alpha=105.82 beta=105.82 gamma=90.00
Sites, in units of the cell vectors:
Al (0.420, 0.420, 0.840)
Al (0.580, 0.580, 0.160)
Rb (0.250, 0.750, 0.500)
Rb (0.750, 0.250, 0.500)
Cd (0.000, 0.000, 0.000)

## Properties
Fermi-level density of states ... 3.36 states/eV/f.u.
Formation energy from the elements ... 0.63 eV/atom



(2)
DFT (SCAN) results for a PBEsol-optimized structure of CeGdN2.

Unit cell a=3.508 b=3.508 c=4.933 alpha=90.00 beta=90.00 gamma=90.00
Sites, in units of the cell vectors:
Gd (0.000, 0.000, 0.000)
Ce (0.500, 0.500, 0.500)
N (0.000, 0.000, 0.500)
N (0.500, 0.500, 0.000)

## Properties
Fermi-level density of states ... 2.75 states/eV/f.u.
ΔE_f (raw) ... -1746 meV/atom



(3)
DFT (SCAN) results for a PBEsol-optimized structure of ZrTl2Tc.

Unit cell a=3.059 b=4.714 c=5.671 alpha=90.00 beta=102.26 gamma=90.00
Sites, in units of the cell vectors:
Tc (0.000, 0.500, 0.500)
Tl (0.837, 0.000, 0.739)
Tl (0.163, 0.000, 0.261)
Zr (0.500, 0.500, 0.000)

## Properties
Fermi-level density of states ... 2.04 states/eV/f.u.
Energy above the most stable polymorph in this dataset ... 0 meV per atom
Formation energy from the elements ... 0.29 eV/atom



(4)
DFT (SCAN) results for a PBEsol-optimized structure of ZnAg2Sb.

Unit cell a=3.008 b=3.008 c=8.314 alpha=90.00 beta=90.00 gamma=90.06
Sites, in units of the cell vectors:
Ag (0.000, 0.000, 0.011)
Ag (0.500, 0.500, 0.777)
Sb (0.000, 0.000, 0.503)
Zn (0.500, 0.500, 0.209)

## Properties
Fermi-level density of states ... 1.30 states/eV/f.u.
ΔE_f (raw) ... 149 meV/atom
Energy above the most stable polymorph in this dataset ... 61 meV per atom